No. 1
# Li3Al

Li3Al at its PBEsol-relaxed geometry (SCAN, the Alexandria database).

For the volume, the calculation gives 67.5 Å³/f.u. Its space group is Pmmm (47). The formation energy is -67.4 meV per atom.

abc: 2.704 4.426 5.641
angles: 90.00 90.00 90.00
Positions (direct):
Li 0.000 0.000 0.000
Li 0.500 0.500 0.272
Li 0.500 0.500 0.728
Al 0.000 0.000 0.500

***

No. 2
# Ge3TeO

Ge3TeO at its PBEsol-relaxed geometry (SCAN, the Alexandria database).

For the volume, the calculation gives 158.8 Å³/f.u. Its space group is Pm-3m (221). The value obtained for the formation energy (no corrections) is 7.5 eV per formula unit.

abc: 5.415 5.415 5.415
angles: 90.00 90.00 90.00
Positions (direct):
Ge 0.000 0.000 0.500
Ge 0.000 0.500 0.000
Ge 0.500 0.000 0.000
Te 0.000 0.000 0.000
O 0.500 0.500 0.500

***

No. 3
# KBe2Tl

KBe2Tl at its PBEsol-relaxed geometry (SCAN, the Alexandria database).

For the volume, the calculation gives 78.2 Å³/f.u. Its space group is Pmm2 (25). The formation energy is 516.5 meV per atom.

abc: 2.997 3.205 8.146
angles: 90.00 90.00 90.00
Positions (direct):
K 0.000 0.000 0.000
Be 0.000 0.000 0.612
Be 0.500 0.500 0.678
Tl 0.500 0.500 0.347

***

No. 4
# AlCdAu2

AlCdAu2 at its PBEsol-relaxed geometry (SCAN, the Alexandria database).

For the volume, the calculation gives 68.6 Å³/f.u. Its space group is Pmm2 (25). The formation energy is -327.7 meV per atom.

abc: 3.028 4.573 4.956
angles: 90.00 90.00 90.00
Positions (direct):
Al 0.000 0.000 0.000
Cd 0.000 0.500 0.401
Au 0.500 0.000 0.536
Au 0.500 0.500 0.913

***

No. 5
# PtINO2

PtINO2 at its PBEsol-relaxed geometry (SCAN, the Alexandria database).

For the volume, the calculation gives 63.9 Å³/f.u. Its space group is P4/mmm (123). The value obtained for the formation energy (no corrections) is 3.8 eV per formula unit.

abc: 4.067 4.067 3.861
angles: 90.00 90.00 90.00
Positions (direct):
Pt 0.000 0.000 0.000
I 0.500 0.500 0.500
N 0.000 0.000 0.500
O 0.000 0.500 0.000
O 0.500 0.000 0.000

***

No. 6
# Cs2NaAgS

Cs2NaAgS at its PBEsol-relaxed geometry (SCAN, the Alexandria database).

For the volume, the calculation gives 210.8 Å³/f.u. Its space group is P4/mmm (123). The value obtained for the formation energy (no corrections) is -2.0 eV per formula unit.

abc: 6.653 6.653 4.763
angles: 90.00 90.00 90.00
Positions (direct):
Cs 0.000 0.500 0.000
Cs 0.500 0.000 0.000
Na 0.000 0.000 0.000
Ag 0.500 0.500 0.500
S 0.000 0.000 0.500

***

No. 7
# ZrInMo2

ZrInMo2 at its PBEsol-relaxed geometry (SCAN, the Alexandria database).

For the volume, the calculation gives 72.5 Å³/f.u. Its space group is Cmm2 (35). The formation energy is 79.0 meV per atom.

abc: 2.912 2.912 9.193
angles: 90.00 90.00 111.58
Positions (direct):
Zr 0.000 0.000 0.000
In 0.500 0.500 0.283
Mo 0.000 0.000 0.540
Mo 0.500 0.500 0.755

***

No. 8
# Lu4NiB13

Lu4NiB13 at its PBEsol-relaxed geometry (SCAN, the Alexandria database).

For the volume, the calculation gives 171.5 Å³/f.u. Its space group is P4/mnc (128). The formation energy is -596.9 meV per atom.

abc: 7.182 7.182 6.649
angles: 90.00 90.00 90.00
Positions (direct):
Lu 0.181 0.315 0.000
Lu 0.185 0.319 0.500
Lu 0.315 0.819 0.000
Lu 0.319 0.815 0.500
Lu 0.681 0.185 0.500
Lu 0.685 0.181 0.000
Lu 0.815 0.681 0.500
Lu 0.819 0.685 0.000
Ni 0.000 0.000 0.500
Ni 0.500 0.500 0.000
B 0.000 0.000 0.000
B 0.040 0.829 0.243
B 0.040 0.829 0.757
B 0.090 0.590 0.250
B 0.090 0.590 0.750
B 0.171 0.040 0.243
B 0.171 0.040 0.757
B 0.329 0.540 0.257
B 0.329 0.540 0.743
B 0.410 0.090 0.250
B 0.410 0.090 0.750
B 0.460 0.329 0.257
B 0.460 0.329 0.743
B 0.500 0.500 0.500
B 0.540 0.671 0.257
B 0.540 0.671 0.743
B 0.590 0.910 0.250
B 0.590 0.910 0.750
B 0.671 0.460 0.257
B 0.671 0.460 0.743
B 0.829 0.960 0.243
B 0.829 0.960 0.757
B 0.910 0.410 0.250
B 0.910 0.410 0.750
B 0.960 0.171 0.243
B 0.960 0.171 0.757